{
  "formula": "ZrAgAu2",
  "functional": "PBE",
  "state": "optimized geometry",
  "ef_ev_per_fu": -0.9,
  "space_group": "P4/mmm (123)",
  "cell": [[5.0848, 0.0000, 0.0000], [0.0000, 5.0848, 0.0000], [0.0000, 0.0000, 2.9802]],
  "species": ["Zr", "Ag", "Au", "Au"],
  "fractional_positions": [[0.0000, 0.0000, 0.0000], [0.5000, 0.5000, 0.0000], [0.0000, 0.5000, 0.5000], [0.5000, 0.0000, 0.5000]]
}